Here is an optimized crystal structure of CaMnN2F from Alexandria via LeMat-Bulk. Energies are from PBE+U.

Structure (CIF):
```
data_CaMnN2F
_chemical_formula_sum 'Ca1 Mn1 N2 F1'
_space_group_name_H-M_alt 'P 4/m m m'
_space_group_IT_number 123
_space_group_name_Hall '-P 4 2'
_cell_length_a 3.8140
_cell_length_b 3.8140
_cell_length_c 4.3005
_cell_angle_alpha 90.00
_cell_angle_beta 90.00
_cell_angle_gamma 90.00
loop_
_atom_site_label
_atom_site_fract_x
_atom_site_fract_y
_atom_site_fract_z
Ca1 0.0000 0.0000 0.0000
Mn1 0.5000 0.5000 0.5000
N1 0.0000 0.5000 0.5000
F1 0.5000 0.5000 0.0000
```

energy: -31.33 eV/cell
N(E_F): 2.643 states/eV/f.u.